K4SmNp3S8 after structural relaxation, computed with PBE. Values from VASP.

The structure in Quantum ESPRESSO input format:
```
&SYSTEM
  ibrav = 0, nat = 16, ntyp = 4
/
ATOMIC_SPECIES
S 32.06 S.upf
K 39.10 K.upf
Np 237.00 Np.upf
Sm 150.36 Sm.upf
CELL_PARAMETERS angstrom
8.219 0.000 0.000
0.000 8.749 0.369
-4.110 -4.107 5.814
ATOMIC_POSITIONS crystal
S 0.236 0.703 0.472
S 0.236 0.703 0.967
S 0.764 0.297 0.033
S 0.733 0.697 0.465
S 0.269 0.297 0.033
S 0.764 0.297 0.528
S 0.267 0.303 0.535
S 0.731 0.703 0.967
K 0.000 0.000 0.500
K 0.500 0.000 0.500
K 0.500 0.000 0.000
K 0.000 0.000 0.000
Np 0.500 0.500 0.500
Np 0.000 0.500 0.500
Np 0.500 0.500 0.000
Sm 0.000 0.500 0.000
```

Output
Calculated volume (Å³ per cell): 430.54
Total moment (μB per cell): 12.00
Space group: R-3m (166)
Mass density (g/cm3): 4.915

***

K3Sm3NpS8 after structural relaxation, computed with PBE. Values from VASP.

The structure in Quantum ESPRESSO input format:
```
&SYSTEM
  ibrav = 0, nat = 15, ntyp = 4
/
ATOMIC_SPECIES
S 32.06 S.upf
Sm 150.36 Sm.upf
K 39.10 K.upf
Np 237.00 Np.upf
CELL_PARAMETERS angstrom
8.219 0.000 0.000
-4.110 7.118 -0.029
0.000 -4.718 7.497
ATOMIC_POSITIONS crystal
S 0.226 0.970 0.696
S 0.256 0.030 0.304
S 0.774 0.030 0.304
S 0.774 0.548 0.304
S 0.226 0.452 0.696
S 0.744 0.970 0.696
S 0.265 0.530 0.296
S 0.735 0.470 0.704
Sm 0.000 0.500 0.500
Sm 0.500 0.000 0.500
Sm 0.500 0.500 0.500
K 0.000 0.000 0.000
K 0.500 0.500 0.000
K 0.000 0.500 0.000
Np 0.000 0.000 0.500
```

Output
Calculated volume (Å³ per cell): 437.49
Total moment (μB per cell): 3.00
Space group: R-3m (166)
Mass density (g/cm3): 4.030

***

K3Np2SnS6 after structural relaxation, computed with PBE. Values from VASP.

The structure in Quantum ESPRESSO input format:
```
&SYSTEM
  ibrav = 0, nat = 12, ntyp = 4
/
ATOMIC_SPECIES
S 32.06 S.upf
Np 237.00 Np.upf
K 39.10 K.upf
Sn 118.71 Sn.upf
CELL_PARAMETERS angstrom
-0.778 5.769 4.203
-5.027 -5.126 -0.022
5.431 -3.665 3.989
ATOMIC_POSITIONS crystal
S 0.068 0.421 0.202
S 0.714 0.714 0.201
S 0.286 0.286 0.799
S 0.421 0.068 0.202
S 0.579 0.932 0.798
S 0.932 0.579 0.798
Np 0.333 0.667 0.000
Np 0.667 0.333 0.000
K 0.500 0.500 0.500
K 0.161 0.839 0.500
K 0.839 0.161 0.500
Sn 0.000 0.000 0.000
```

Output
Calculated volume (Å³ per cell): 325.41
Total moment (μB per cell): 7.00
Space group: C2/m (12)
Mass density (g/cm3): 4.605

***

K3Np3SnS8 after structural relaxation, computed with PBE. Values from VASP.

The structure in Quantum ESPRESSO input format:
```
&SYSTEM
  ibrav = 0, nat = 15, ntyp = 4
/
ATOMIC_SPECIES
S 32.06 S.upf
Sn 118.71 Sn.upf
Np 237.00 Np.upf
K 39.10 K.upf
CELL_PARAMETERS angstrom
-4.677 6.449 -1.896
-2.630 -5.498 5.469
6.443 5.367 2.363
ATOMIC_POSITIONS crystal
S 0.267 0.534 0.301
S 0.760 0.520 0.305
S 0.760 0.045 0.305
S 0.240 0.955 0.695
S 0.733 0.466 0.699
S 0.715 0.955 0.695
S 0.285 0.045 0.305
S 0.240 0.480 0.695
Sn 0.000 0.000 0.500
Np 0.500 0.000 0.500
Np 0.000 0.500 0.500
Np 0.500 0.500 0.500
K 0.500 0.500 0.000
K 0.000 0.000 0.000
K 0.000 0.500 0.000
```

Output
Calculated volume (Å³ per cell): 424.90
Total moment (μB per cell): 10.00
Space group: R-3m (166)
Mass density (g/cm3): 4.703

***

| no. | formation energy (no corrections) (eV/atom) |
| --- | --- |
| 1 | -1.509 |
| 2 | -1.747 |
| 3 | -1.240 |
| 4 | -1.245 |